LaCu2Tc | PBE | optimized geometry

Cell: 2.940 2.940 27.876 Å, 90.00 90.00 120.00°
Atoms (fractional coordinates):
La: 0.000 0.000 0.000
La: 0.333 0.667 0.667
La: 0.667 0.333 0.333
Cu: 0.000 0.000 0.497
Cu: 0.000 0.000 0.764
Cu: 0.333 0.667 0.163
Cu: 0.333 0.667 0.430
Cu: 0.667 0.333 0.097
Cu: 0.667 0.333 0.830
Tc: 0.000 0.000 0.235
Tc: 0.333 0.667 0.902
Tc: 0.667 0.333 0.569

Properties
Formation energy, eV/atom: 0.598
M_tot, μB/cell: 1.2
E, eV/cell: -63.281